(1)
Crystalline TiCdAgPd at its relaxed geometry, computed with PBE.

Values from the calculation:
Theoretical density ... 8.77 g/cm3
V ... 71 Å³/cell
Energy above the most stable polymorph in this dataset ... 0.000 eV per atom
ΔH_f (0 K) ... -0.250 eV per atom

a b c (Å): 3.2860 3.2860 6.5681
angles (deg): 90.00 90.00 90.00
Space group P4mm (No. 99)
One atom of each set of equivalent atoms:
Ti1 0.0000 0.0000 0.0000 x1
Cd1 0.0000 0.0000 0.4713 x1
Ag1 0.5000 0.5000 0.7448 x1
Pd1 0.5000 0.5000 0.1902 x1

(2)
Crystalline Tl2CdAg2Pd5 at its relaxed geometry, computed with PBE.

Values from the calculation:
Theoretical density ... 11.06 g/cm3
V ... 381 Å³/cell
ΔH_f (0 K) ... -0.061 eV per atom

a b c (Å): 9.9104 9.9104 3.8797
angles (deg): 90.00 90.00 90.00
Space group P4/mbm (No. 127)
One atom of each set of equivalent atoms:
Tl1 0.1528 0.3472 0.0000 x4
Cd1 0.0000 0.0000 0.0000 x2
Ag1 0.1506 0.6506 0.0000 x4
Pd1 0.0000 0.5000 0.5000 x2
Pd2 0.0037 0.7947 0.5000 x8

(3)
Crystalline Tm4CdAgPd2 at its relaxed geometry, computed with PBE.

Values from the calculation:
Theoretical density ... 10.33 g/cm3
V ... 535 Å³/cell
ΔH_f (0 K) ... -0.609 eV per atom

a b c (Å): 5.0097 5.0097 24.5964
angles (deg): 90.00 90.00 120.00
Space group R-3m (No. 166, hexagonal axes)
One atom of each set of equivalent atoms:
Tm1 0.0000 0.0000 0.1228 x6
Tm2 0.0000 0.0000 0.3731 x6
Cd1 0.0000 0.0000 0.5000 x3
Ag1 0.0000 0.0000 0.0000 x3
Pd1 0.0000 0.0000 0.2474 x6